[1]
## SrLiTa (PBE)

Data for a geometry-optimized SrLiTa structure.

Cell: 4.998 4.998 4.998 Å, 60.00 60.00 60.00°
Fractional coordinates of all 3 atoms:
Sr1 0.000 0.000 0.000
Li1 0.750 0.750 0.750
Ta1 0.500 0.500 0.500

Output
calculated total energy: -3.67 eV per atom
DFT formation energy: 1.482 eV per atom

---

[2]
## Cs2SnPt (PBE)

Data for a geometry-optimized Cs2SnPt structure.

Cell: 6.012 6.012 6.012 Å, 60.00 60.00 60.00°
Fractional coordinates of all 4 atoms:
Cs1 0.250 0.250 0.250
Cs2 0.750 0.750 0.750
Sn1 0.000 0.000 0.000
Pt1 0.500 0.500 0.500

Output
calculated total energy: -2.43 eV per atom
DFT formation energy: 0.512 eV per atom

---

[3]
## BaCaP4 (PBE)

Data for a geometry-optimized BaCaP4 structure.

Cell: 5.645 5.645 5.645 Å, 60.00 60.00 60.00°
Fractional coordinates of all 6 atoms:
Ba1 0.000 0.000 0.000
Ca1 0.750 0.750 0.750
P1 0.388 0.388 0.388
P2 0.388 0.388 0.837
P3 0.388 0.837 0.388
P4 0.837 0.388 0.388

Output
calculated total energy: -4.52 eV per atom
DFT formation energy: -0.256 eV per atom

---

[4]
## Er4Ni13B4 (PBE)

Data for a geometry-optimized Er4Ni13B4 structure.

Cell: 8.503 8.503 3.872 Å, 90.00 90.00 91.07°
Fractional coordinates of all 21 atoms:
Er1 0.189 0.811 0.000
Er2 0.349 0.349 0.000
Er3 0.651 0.651 0.000
Er4 0.811 0.189 0.000
Ni1 0.000 0.000 0.500
Ni2 0.000 0.500 0.000
Ni3 0.077 0.287 0.500
Ni4 0.123 0.123 0.000
Ni5 0.210 0.580 0.500
Ni6 0.287 0.077 0.500
Ni7 0.420 0.790 0.500
Ni8 0.500 0.000 0.000
Ni9 0.580 0.210 0.500
Ni10 0.713 0.923 0.500
Ni11 0.790 0.420 0.500
Ni12 0.877 0.877 0.000
Ni13 0.923 0.713 0.500
B1 0.000 0.500 0.500
B2 0.435 0.565 0.500
B3 0.500 0.000 0.500
B4 0.565 0.435 0.500

Output
calculated total energy: -6.11 eV per atom
DFT formation energy: -0.395 eV per atom